Entry 1:
A plane-wave DFT calculation with PBE was carried out for a relaxed structure of AcSm6Tl2.

Computed properties:
The calculation puts the total moment at 0.000 μB/atom. The calculation puts the electronic total energy at -4.259 eV/atom.

a = 3.9288 Å, b = 6.7874 Å, c = 12.0595 Å
α = 77.64°, β = 80.63°, γ = 73.18°
Last column: nearest neighbours and their distance in Å.
Fractional coordinates of all 9 atoms:
Tl 0.3288 0.1058 0.2367  6 Sm 3.25-3.30, 2 Ac 3.60
Sm 0.9851 0.7091 0.3208  2 Tl 3.25, 4 Sm 3.52-3.56
Sm 0.6904 0.4945 0.1248  2 Tl 3.29, 4 Sm 3.52-3.55
Sm 0.0149 0.2909 0.6792  2 Tl 3.25, 4 Sm 3.52-3.56
Sm 0.6653 0.2322 0.4371  2 Tl 3.30, 4 Sm 3.56-3.69
Ac 0.0000 0.0000 0.0000  4 Tl 3.60, 8 Sm 3.77-3.95, 2 Ac 3.93
Sm 0.3347 0.7678 0.5629  2 Tl 3.30, 4 Sm 3.56-3.69
Tl 0.6712 0.8942 0.7633  6 Sm 3.25-3.30, 2 Ac 3.60
Sm 0.3096 0.5055 0.8752  2 Tl 3.29, 4 Sm 3.52-3.55

***

Entry 2:
A plane-wave DFT calculation with PBE was carried out for a relaxed structure of Ac3Sm4Tl4.

Computed properties:
The calculation puts the total moment at 0.000 μB/atom. The calculation puts the electronic total energy at -3.937 eV/atom.

a = 4.9677 Å, b = 8.7008 Å, c = 10.1931 Å
α = 115.26°, β = 104.10°, γ = 90.00°
Last column: nearest neighbours and their distance in Å.
Fractional coordinates of all 11 atoms:
Sm 0.3299 0.5302 0.6598  4 Tl 3.16-3.21, 1 Sm 3.49
Ac 0.8864 0.8864 0.7729  6 Tl 3.61-3.80, 4 Sm 3.74, 1 Ac 4.03
Sm 0.6701 0.4698 0.3402  4 Tl 3.16-3.21, 1 Sm 3.49
Tl 0.2244 0.7244 0.4488  6 Sm 3.18-3.21
Ac 0.0000 0.5000 0.0000  6 Tl 3.65-3.98
Sm 0.3299 0.1296 0.6598  4 Tl 3.16-3.21, 1 Sm 3.49
Tl 0.7756 0.2756 0.5512  6 Sm 3.18-3.21
Tl 0.5000 0.1923 0.0000  2 Sm 3.16, 1 Tl 3.35
Sm 0.6701 0.8704 0.3402  4 Tl 3.16-3.21, 1 Sm 3.49
Ac 0.1136 0.1136 0.2271  6 Tl 3.61-3.80, 4 Sm 3.74, 1 Ac 4.03
Tl 0.5000 0.8077 0.0000  2 Sm 3.16, 1 Tl 3.35

***

Entry 3:
A plane-wave DFT calculation with PBE was carried out for a relaxed structure of Ac3SmTl2.

Computed properties:
The energy above the most stable polymorph in this dataset is 0 meV/atom. The calculation puts the total moment at 0.109 μB/atom. The calculation puts the electronic total energy at -3.848 eV/atom.

a = 7.1153 Å, b = 7.1345 Å, c = 10.1909 Å
α = 110.49°, β = 110.43°, γ = 90.00°
Last column: nearest neighbours and their distance in Å.
Fractional coordinates of all 12 atoms:
Ac 0.5000 0.7500 0.0000  4 Tl 3.48, 2 Sm 3.56, 2 Ac 3.57
Ac 0.5000 0.2500 0.0000  4 Tl 3.48, 2 Sm 3.56, 2 Ac 3.57
Tl 0.3683 0.1313 0.2626  7 Ac 3.38-3.76, 2 Sm 3.38
Ac 0.9310 0.1782 0.3565  5 Tl 3.38-3.76
Sm 0.0000 0.7500 0.0000  4 Tl 3.38, 2 Ac 3.56, 2 Sm 3.57
Ac 0.4255 0.6782 0.3565  5 Tl 3.38-3.76
Ac 0.5745 0.3218 0.6435  5 Tl 3.38-3.76
Tl 0.1056 0.3687 0.7374  7 Ac 3.38-3.76, 2 Sm 3.38
Sm 0.0000 0.2500 0.0000  4 Tl 3.38, 2 Ac 3.56, 2 Sm 3.57
Ac 0.0690 0.8218 0.6435  5 Tl 3.38-3.76
Tl 0.6317 0.8687 0.7374  7 Ac 3.38-3.76, 2 Sm 3.38
Tl 0.8944 0.6313 0.2626  7 Ac 3.38-3.76, 2 Sm 3.38

***

Entry 4:
A plane-wave DFT calculation with PBE was carried out for a relaxed structure of Ac5Sm4Tl4.

Computed properties:
The calculation puts the total moment at 0.000 μB/atom. The calculation puts the electronic total energy at -3.996 eV/atom.

a = 5.1119 Å, b = 9.9331 Å, c = 9.9331 Å
α = 86.20°, β = 75.09°, γ = 75.09°
Last column: nearest neighbours and their distance in Å.
Fractional coordinates of all 13 atoms:
Sm 0.5876 0.3154 0.5094  3 Tl 3.24-3.34, 5 Sm 3.55-3.58
Tl 0.9270 0.8280 0.3180  3 Sm 3.24-3.34, 4 Ac 3.47-3.55
Sm 0.0970 0.4906 0.3154  3 Tl 3.24-3.34, 5 Sm 3.55-3.58
Ac 0.6230 0.6759 0.0781  5 Tl 3.51-3.74, 2 Sm 3.86
Ac 0.7011 0.9219 0.6759  5 Tl 3.51-3.74, 2 Sm 3.86
Ac 0.2989 0.0781 0.3241  5 Tl 3.51-3.74, 2 Sm 3.86
Sm 0.4124 0.6846 0.4906  3 Tl 3.24-3.34, 5 Sm 3.55-3.58
Ac 0.3770 0.3241 0.9219  5 Tl 3.51-3.74, 2 Sm 3.86
Tl 0.0730 0.1720 0.6820  3 Sm 3.24-3.34, 4 Ac 3.47-3.55
Ac 0.0000 0.0000 0.0000  4 Tl 3.47
Tl 0.7550 0.3180 0.1720  3 Sm 3.24-3.34, 4 Ac 3.47-3.55
Sm 0.9030 0.5094 0.6846  3 Tl 3.24-3.34, 5 Sm 3.55-3.58
Tl 0.2450 0.6820 0.8280  3 Sm 3.24-3.34, 4 Ac 3.47-3.55

***

Q: Which of these has the highest total moment?
A: Ac3SmTl2

***

Q: Look up the total moment of the third one.
A: 0.109 μB/atom

***

Q: Which value of total moment does entry 4 give?
A: 0.000 μB/atom